The following is a GGA-PBE calculation of crystalline SrBP2 at its relaxed geometry, from the Alexandria database.

Cell lengths 6.5440, 6.5440, 6.9249 Å; angles 90.00, 90.00, 90.00 degrees
Closest atoms and distances in Å follow each position.
Atoms (fractional coordinates):
Sr1 0.0000 0.0000 0.0000  8 P 3.05-3.19
Sr2 0.0000 0.5000 0.2500  8 P 3.05-3.19
Sr3 0.5000 0.0000 0.7500  8 P 3.05-3.19
Sr4 0.5000 0.5000 0.5000  8 P 3.05-3.19
B1 0.0000 0.0000 0.5000  4 P 2.04
B2 0.0000 0.5000 0.7500  4 P 2.04
B3 0.5000 0.0000 0.2500  4 P 2.04
B4 0.5000 0.5000 0.0000  4 P 2.04
P1 0.1303 0.2500 0.6250  2 B 2.04
P2 0.2500 0.6303 0.8750  2 B 2.04
P3 0.2500 0.8697 0.3750  2 B 2.04
P4 0.3697 0.2500 0.1250  2 B 2.04
P5 0.6303 0.7500 0.1250  2 B 2.04
P6 0.7500 0.1303 0.3750  2 B 2.04
P7 0.7500 0.3697 0.8750  2 B 2.04
P8 0.8697 0.7500 0.6250  2 B 2.04

* magnetization: 0.00 μB per cell
* space group: I-42d (122)
* DFT formation energy: -8.63 kcal/mol of atoms
* crystal system: tetragonal
* VASP energy: -0.190 hartree per atom